# PBE HoEr2Mg5, relaxed
# Calculated total energy   -0.2036 Ry/atom
# Calculated density   5.0 g/cm³
# ΔH_f (0 K)   -0.060 eV per atom
data_HoEr2Mg5
_symmetry_space_group_name_H-M 'I 4/m m m'
_symmetry_Int_Tables_number 139
_symmetry_space_group_name_Hall '-I 4 2'
_cell_length_a 5.227
_cell_length_b 5.227
_cell_length_c 15.043
_cell_angle_alpha 90.00
_cell_angle_beta 90.00
_cell_angle_gamma 90.00
loop_
_atom_site_label
_atom_site_type_symbol
_atom_site_fract_x
_atom_site_fract_y
_atom_site_fract_z
Ho1 Ho 0.000 0.000 0.000
Er1 Er 0.000 0.000 0.255
Mg1 Mg 0.000 0.000 0.500
Mg2 Mg 0.000 0.500 0.120